1.
A plane-wave DFT calculation with SCAN was carried out for a PBEsol-optimized structure of Ca3ZnSe4.

Properties
Formation energy from raw total energies ... -1.622 eV per atom

Unit cell a=6.285 b=6.285 c=6.285 alpha=90.00 beta=90.00 gamma=90.00
Sites, in units of the cell vectors:
Zn1 0.000 0.000 0.000
Ca1 0.000 0.500 0.500
Ca2 0.500 0.500 0.000
Ca3 0.500 0.000 0.500
Se1 0.772 0.772 0.228
Se2 0.772 0.228 0.772
Se3 0.228 0.772 0.772
Se4 0.228 0.228 0.228

---

2.
A plane-wave DFT calculation with SCAN was carried out for a PBEsol-optimized structure of ZrH2Pd2.

Properties
Total energy ... -21.067 eV/atom

Unit cell a=3.590 b=3.590 c=4.967 alpha=111.18 beta=111.18 gamma=90.00
Sites, in units of the cell vectors:
H1 0.250 0.750 0.500
H2 0.750 0.250 0.500
Zr1 0.000 0.000 0.000
Pd1 0.335 0.335 0.669
Pd2 0.665 0.665 0.331

---

3.
A plane-wave DFT calculation with SCAN was carried out for a PBEsol-optimized structure of Mg5In4.

Properties
DFT formation energy ... -0.132 eV per atom
Distance to the lowest polymorph of the same formula ... 0 meV/atom

Unit cell a=6.078 b=8.855 c=8.855 alpha=120.00 beta=90.00 gamma=90.00
Sites, in units of the cell vectors:
In1 0.000 0.000 0.000
In2 0.500 0.000 0.000
In3 0.750 0.000 0.364
In4 0.750 0.364 0.000
In5 0.750 0.636 0.636
In6 0.250 0.000 0.636
In7 0.250 0.636 0.000
In8 0.250 0.364 0.364
Mg1 0.750 0.000 0.695
Mg2 0.750 0.695 0.000
Mg3 0.750 0.305 0.305
Mg4 0.250 0.000 0.305
Mg5 0.250 0.305 0.000
Mg6 0.250 0.695 0.695
Mg7 0.000 0.333 0.667
Mg8 0.500 0.667 0.333
Mg9 0.000 0.667 0.333
Mg10 0.500 0.333 0.667

---

4.
A plane-wave DFT calculation with SCAN was carried out for a PBEsol-optimized structure of Co2BiP.

Properties
DFT formation energy ... 0.623 eV per atom

Unit cell a=4.348 b=4.348 c=4.348 alpha=60.00 beta=60.00 gamma=60.00
Sites, in units of the cell vectors:
P1 0.000 0.000 0.000
Co1 0.250 0.250 0.250
Co2 0.750 0.750 0.750
Bi1 0.500 0.500 0.500

---

5.
A plane-wave DFT calculation with SCAN was carried out for a PBEsol-optimized structure of La3Ce4O12.

Properties
Formation energy from raw total energies ... -3.722 eV per atom

Unit cell a=3.812 b=5.569 c=14.220 alpha=100.77 beta=97.70 gamma=90.00
Sites, in units of the cell vectors:
La1 0.000 0.000 0.000
La2 0.427 0.477 0.854
La3 0.573 0.523 0.146
Ce1 0.151 0.159 0.303
Ce2 0.286 0.288 0.572
Ce3 0.849 0.841 0.697
Ce4 0.714 0.712 0.428
O1 0.637 0.886 0.273
O2 0.512 0.759 0.024
O3 0.351 0.610 0.701
O4 0.216 0.466 0.433
O5 0.649 0.390 0.299
O6 0.075 0.287 0.150
O7 0.925 0.713 0.850
O8 0.488 0.241 0.976
O9 0.784 0.534 0.567
O10 0.214 0.964 0.429
O11 0.786 0.036 0.571
O12 0.363 0.114 0.727

---

6.
A plane-wave DFT calculation with SCAN was carried out for a PBEsol-optimized structure of LiCoTc2As.

Properties
DFT formation energy ... 0.948 eV per atom

Unit cell a=4.117 b=4.498 c=4.498 alpha=90.00 beta=90.00 gamma=90.00
Sites, in units of the cell vectors:
As1 0.000 0.000 0.000
Co1 0.500 0.500 0.500
Tc1 0.000 0.000 0.500
Tc2 0.000 0.500 0.000
Li1 0.500 0.000 0.000

---

7.
A plane-wave DFT calculation with SCAN was carried out for a PBEsol-optimized structure of In2TeMo.

Properties
Formation energy from raw total energies ... 0.467 eV per atom

Unit cell a=3.135 b=3.135 c=10.412 alpha=81.34 beta=81.34 gamma=60.00
Sites, in units of the cell vectors:
In1 0.238 0.238 0.285
In2 0.762 0.762 0.715
Mo1 0.500 0.500 0.500
Te1 0.000 0.000 0.000

---

8.
A plane-wave DFT calculation with SCAN was carried out for a PBEsol-optimized structure of Ta2MnAl.

Properties
DFT formation energy ... -0.192 eV per atom

Unit cell a=3.509 b=4.129 c=4.258 alpha=90.00 beta=90.00 gamma=90.00
Sites, in units of the cell vectors:
Mn1 0.000 0.500 0.500
Al1 0.500 0.500 0.000
Ta1 0.000 0.000 0.000
Ta2 0.500 0.000 0.500

---

We obtain DOS(E_F) values of 0.0, 1.2, 2.8, 1.5, 7.0, 4.3, 2.5, 2.3 states/eV/f.u. for the records listed above, in that order.